(1)
Material: Pm2HfZrIr2
Method: DFT, PBE
State: relaxed Values from VASP.

Computed properties:
formation enthalpy at 0 K	-0.68	eV/atom
N(E_F)	6.57	states/eV/f.u.

Structure (Quantum ESPRESSO input):
```
&SYSTEM
  ibrav = 0, nat = 12, ntyp = 4
/
ATOMIC_SPECIES
Hf 178.49 Hf.upf
Ir 192.22 Ir.upf
Zr 91.22 Zr.upf
Pm 145.00 Pm.upf
CELL_PARAMETERS angstrom
-2.3833 1.9313 -5.7760
-6.0624 -1.2961 2.0681
3.6763 6.0191 4.1983
ATOMIC_POSITIONS crystal
Hf 0.4999 0.2500 0.0000
Ir 0.6418 0.3963 0.7934
Hf 0.5001 0.7500 0.0000
Zr 0.0000 0.7500 0.0000
Pm 0.4434 0.1845 0.3695
Ir 0.1516 0.8963 0.7934
Ir 0.3582 0.6037 0.2066
Zr 0.0000 0.2500 0.0000
Pm 0.5566 0.8155 0.6305
Ir 0.8484 0.1037 0.2066
Pm 0.9261 0.6845 0.3695
Pm 0.0739 0.3155 0.6305
```



(2)
Material: RbSrTiSe3
Method: DFT, PBE
State: relaxed Values from VASP.

Computed properties:
raw formation energy	-1.3056	eV/atom
N(E_F)	2.54	states/eV/f.u.

Structure (Quantum ESPRESSO input):
```
&SYSTEM
  ibrav = 0, nat = 12, ntyp = 4
/
ATOMIC_SPECIES
Se 78.96 Se.upf
Sr 87.62 Sr.upf
Ti 47.87 Ti.upf
Rb 85.47 Rb.upf
CELL_PARAMETERS angstrom
4.9912 0.0000 0.0000
-2.4956 8.5109 0.0617
0.0000 -2.4039 8.8948
ATOMIC_POSITIONS crystal
Se 0.8534 0.7068 0.2062
Se 0.5033 0.0067 0.3052
Se 0.4967 0.9933 0.6948
Sr 0.6578 0.3156 0.5782
Ti 0.9985 0.9969 0.6713
Rb 0.3580 0.7159 0.9329
Sr 0.3422 0.6844 0.4218
Rb 0.6420 0.2841 0.0671
Se 0.1466 0.2932 0.7938
Ti 0.0015 0.0031 0.3287
Se 0.8461 0.6923 0.6505
Se 0.1539 0.3077 0.3495
```



The theoretical density results, record by record, are as follows: 10.82, 4.02 g/cm³.